1.
Compound: LaSb2Cl
Source: the Alexandria database
Functional: PBE
Structure: relaxed

ΔE_f (raw), meV/atom: -227
E, eV per atom: -3.982
Distance to the lowest polymorph of the same formula, eV/f.u.: 3.574
V, Å³/atom: 28.09

Cell lengths 3.5939, 3.5939, 30.1394 Å; angles 90.00, 90.00, 120.00 degrees
Space group R-3m (No. 166, hexagonal axes)
Unique sites:
La  0.0000  0.0000  0.0000 [3 per cell]
Sb  0.0000  0.0000  0.2456 [6 per cell]
Cl  0.0000  0.0000  0.5000 [3 per cell]

=====

2.
Compound: La3Sb2Cl
Source: the Alexandria database
Functional: PBE
Structure: relaxed

ΔE_f (raw), meV/atom: -1390
E, eV per atom: -5.536
V, Å³/atom: 33.27

Cell lengths 4.6000, 4.6000, 18.8659 Å; angles 90.00, 90.00, 90.00 degrees
Space group I4/mmm (No. 139)
Unique sites:
La  0.0000  0.0000  0.0000 [2 per cell]
La  0.0000  0.0000  0.3345 [4 per cell]
Sb  0.0000  0.0000  0.1657 [4 per cell]
Cl  0.0000  0.0000  0.5000 [2 per cell]